RbZrMnTe4 | PBE-GGA | relaxed

The structure in extended XYZ format:
```
14
Lattice="-7.091 -1.361 0.103 1.231 -6.429 -0.231 4.018 0.416 9.849" Properties=species:S:1:pos:R:3 pbc="T T T"
Rb -0.637 -5.465 9.431
Rb -1.205 -1.909 0.290
Zr -2.522 -5.642 4.317
Zr 0.680 -1.732 5.404
Mn 0.456 -5.032 3.217
Mn -2.299 -2.342 6.505
Te 3.123 -3.032 6.619
Te -5.560 -1.236 3.214
Te -4.966 -4.342 3.102
Te 3.718 -6.138 6.508
Te -1.479 -5.342 1.524
Te -0.363 -2.032 8.198
Te 0.040 -5.204 5.771
Te -1.882 -2.170 3.950
```

## Properties
- magnetic moment (μB/atom) = 0.628
- formation energy without anion corrections (eV per formula unit) = -4.20

***

Rb2ZrMnTe4 | PBE-GGA | relaxed

The structure in extended XYZ format:
```
16
Lattice="-5.217 0.476 -3.991 1.977 0.009 -8.017 -3.630 -13.211 -2.262" Properties=species:S:1:pos:R:3 pbc="T T T"
Rb -3.261 -8.351 -2.166
Rb -5.586 -4.385 -4.088
Rb -5.108 -11.105 -8.230
Rb -4.370 -1.384 -8.037
Zr -4.739 -6.245 -8.133
Zr 0.000 0.000 0.000
Mn -2.131 -6.482 -6.138
Mn -2.608 0.238 -1.996
Te -0.412 -1.350 -7.807
Te -3.882 -11.612 -4.494
Te -6.386 -11.274 -11.979
Te -3.059 -1.219 -4.262
Te -2.350 -4.886 -8.344
Te -4.487 -7.844 -5.902
Te -5.223 -7.698 -10.425
Te -1.680 -5.026 -3.871
```

## Properties
- magnetic moment (μB/atom) = 0.624
- formation energy without anion corrections (eV per formula unit) = -6.39

***

RbTiMn3 | PBE-GGA | relaxed

The structure in extended XYZ format:
```
5
Lattice="4.904 0.000 0.000 0.000 4.904 0.000 0.000 0.000 4.904" Properties=species:S:1:pos:R:3 pbc="T T T"
Mn 0.000 2.452 0.000
Mn 0.000 0.000 2.452
Mn 2.452 0.000 0.000
Rb 0.000 0.000 0.000
Ti 2.452 2.452 2.452
```

## Properties
- magnetic moment (μB/atom) = 1.914
- energy of formation from the pure elements (meV per atom) = 2347

***

RbTiMn3 | PBE-GGA | relaxed

The structure in extended XYZ format:
```
5
Lattice="-1.146 -4.576 1.766 4.044 0.145 2.999 -2.775 2.100 3.641" Properties=species:S:1:pos:R:3 pbc="T T T"
Mn 2.022 0.073 1.499
Mn -1.388 1.050 1.820
Mn -0.573 -2.288 0.883
Rb 0.062 -1.165 4.203
Ti 0.000 0.000 0.000
```

## Properties
- magnetic moment (μB/atom) = 2.021
- energy of formation from the pure elements (meV per atom) = 1144